1.
The following is a DFT calculation (PBE) of a relaxed structure of MgTa2Tl.

Structure (POSCAR):
```
MgTa2Tl
1.0
2.931 0.000 0.000
0.000 4.648 0.000
0.000 0.000 5.753
Mg Ta Tl
1 2 1
Direct
0.000 0.000 0.000
0.500 0.500 0.241
0.500 0.500 0.759
0.000 0.000 0.500
```

Calculated values
Energy of formation from the pure elements: 0.41 eV per atom
DOS(E_F): 2.4 states/eV per cell
Crystal system: orthorhombic

***

2.
The following is a DFT calculation (PBE) of a relaxed structure of MgTa2Tl.

Structure (POSCAR):
```
MgTa2Tl
1.0
2.959 0.000 0.000
0.000 2.959 0.000
0.000 0.000 9.270
Mg Ta Tl
1 2 1
Direct
0.000 0.000 0.000
0.000 0.000 0.480
0.500 0.500 0.243
0.500 0.500 0.737
```

Calculated values
Energy of formation from the pure elements: 0.33 eV per atom
DOS(E_F): 3.4 states/eV per cell
Crystal system: tetragonal

***

3.
The following is a DFT calculation (PBE) of a relaxed structure of Mg2TaTl.

Structure (POSCAR):
```
Mg2TaTl
1.0
-1.572 2.549 5.214
1.572 -2.549 5.214
1.572 2.549 -5.214
Mg Ta Tl
2 1 1
Direct
0.245 0.245 0.000
0.755 0.755 0.000
0.000 0.500 0.500
0.500 0.000 0.500
```

Calculated values
Energy of formation from the pure elements: 0.32 eV per atom
DOS(E_F): 1.9 states/eV per cell
Crystal system: orthorhombic
Distance to the lowest polymorph of the same formula: 0.115 eV/atom

***

4.
The following is a DFT calculation (PBE) of a relaxed structure of MgTa2Tl.

Structure (POSCAR):
```
MgTa2Tl
1.0
0.000 3.404 3.404
3.404 0.000 3.404
3.404 3.404 0.000
Mg Ta Tl
1 2 1
Direct
0.000 0.000 0.000
0.250 0.250 0.250
0.500 0.500 0.500
0.750 0.750 0.750
```

Calculated values
Energy of formation from the pure elements: 0.59 eV per atom
DOS(E_F): 6.1 states/eV per cell
Crystal system: cubic

***

5.
The following is a DFT calculation (PBE) of a relaxed structure of MgTa2Tl.

Structure (POSCAR):
```
MgTa2Tl
1.0
1.788 -2.300 0.000
1.788 2.300 0.000
0.000 0.000 9.693
Mg Ta Tl
1 2 1
Direct
0.000 0.000 0.000
0.500 0.500 0.250
0.500 0.500 0.750
0.000 0.000 0.500
```

Calculated values
Energy of formation from the pure elements: 0.48 eV per atom
DOS(E_F): 3.4 states/eV per cell
Crystal system: orthorhombic

***

6.
The following is a DFT calculation (PBE) of a relaxed structure of Mg2TaTl.

Structure (POSCAR):
```
Mg2TaTl
1.0
5.659 -1.502 0.000
5.659 1.502 0.000
-2.598 0.000 4.921
Mg Ta Tl
2 1 1
Direct
0.000 0.000 0.000
0.244 0.244 0.928
0.744 0.744 0.439
0.493 0.493 0.483
```

Calculated values
Energy of formation from the pure elements: 0.29 eV per atom
DOS(E_F): 2.5 states/eV per cell
Crystal system: monoclinic
Distance to the lowest polymorph of the same formula: 0.082 eV/atom

***

7.
The following is a DFT calculation (PBE) of a relaxed structure of Mg2TaTl.

Structure (POSCAR):
```
Mg2TaTl
1.0
-3.921 3.921 2.904
3.921 -3.921 2.904
3.921 3.921 -2.904
Mg Ta Tl
4 2 2
Direct
0.115 0.625 0.990
0.375 0.365 0.490
0.635 0.125 0.010
0.875 0.885 0.510
0.250 0.750 0.500
0.500 0.500 0.000
0.000 0.000 0.000
0.750 0.250 0.500
```

Calculated values
Energy of formation from the pure elements: 0.72 eV per atom
DOS(E_F): 1.6 states/eV per cell
Crystal system: tetragonal
Distance to the lowest polymorph of the same formula: 0.510 eV/atom

***

8.
The following is a DFT calculation (PBE) of a relaxed structure of MgTa2Tl.

Structure (POSCAR):
```
MgTa2Tl
1.0
3.670 0.000 0.000
0.000 3.670 0.000
0.000 0.000 5.792
Mg Ta Tl
1 2 1
Direct
0.000 0.000 0.000
0.500 0.500 0.251
0.500 0.500 0.749
0.000 0.000 0.500
```

Calculated values
Energy of formation from the pure elements: 0.62 eV per atom
DOS(E_F): 2.3 states/eV per cell
Crystal system: tetragonal

***

9.
The following is a DFT calculation (PBE) of a relaxed structure of MgTa2Tl.

Structure (POSCAR):
```
MgTa2Tl
1.0
-3.877 3.877 2.816
3.877 -3.877 2.816
3.877 3.877 -2.816
Mg Ta Tl
2 4 2
Direct
0.000 0.000 0.000
0.750 0.250 0.500
0.128 0.625 0.003
0.375 0.378 0.503
0.622 0.125 0.997
0.875 0.872 0.497
0.250 0.750 0.500
0.500 0.500 0.000
```

Calculated values
Energy of formation from the pure elements: 0.95 eV per atom
DOS(E_F): 5.2 states/eV per cell
Crystal system: tetragonal

***

10.
The following is a DFT calculation (PBE) of a relaxed structure of Mg2TaTl.

Structure (POSCAR):
```
Mg2TaTl
1.0
5.326 0.000 0.000
0.000 3.049 0.000
-2.053 0.000 5.098
Mg Ta Tl
2 1 1
Direct
0.000 0.000 0.000
0.500 0.500 0.000
0.000 0.500 0.500
0.500 0.000 0.500
```

Calculated values
Energy of formation from the pure elements: 0.29 eV per atom
DOS(E_F): 2.1 states/eV per cell
Crystal system: monoclinic
Distance to the lowest polymorph of the same formula: 0.078 eV/atom

***

11.
The following is a DFT calculation (PBE) of a relaxed structure of Mg3TaTl.

Structure (POSCAR):
```
Mg3TaTl
1.0
5.117 0.000 0.000
0.000 5.117 0.000
0.000 0.000 5.117
Mg Ta Tl
3 1 1
Direct
0.000 0.000 0.500
0.000 0.500 0.000
0.500 0.000 0.000
0.500 0.500 0.500
0.000 0.000 0.000
```

Calculated values
Energy of formation from the pure elements: 1.25 eV per atom
DOS(E_F): 3.5 states/eV per cell
Crystal system: cubic
Distance to the lowest polymorph of the same formula: 0.137 eV/atom

***

12.
The following is a DFT calculation (PBE) of a relaxed structure of MgTa2Tl.

Structure (POSCAR):
```
MgTa2Tl
1.0
-1.677 2.500 4.796
1.677 -2.500 4.796
1.677 2.500 -4.796
Mg Ta Tl
1 2 1
Direct
0.000 0.000 0.000
0.264 0.764 0.500
0.482 0.482 0.000
0.745 0.245 0.500
```

Calculated values
Energy of formation from the pure elements: 0.46 eV per atom
DOS(E_F): 3.0 states/eV per cell
Crystal system: orthorhombic

***

13.
The following is a DFT calculation (PBE) of a relaxed structure of Mg2TaTl.

Structure (POSCAR):
```
Mg2TaTl
1.0
3.115 0.000 0.000
0.000 4.335 0.000
0.000 0.000 6.175
Mg Ta Tl
2 1 1
Direct
0.000 0.000 0.000
0.500 0.500 0.249
0.000 0.000 0.486
0.500 0.500 0.731
```

Calculated values
Energy of formation from the pure elements: 0.36 eV per atom
DOS(E_F): 3.1 states/eV per cell
Crystal system: orthorhombic
Distance to the lowest polymorph of the same formula: 0.152 eV/atom

***

14.
The following is a DFT calculation (PBE) of a relaxed structure of MgTa2Tl2.

Structure (POSCAR):
```
MgTa2Tl2
1.0
-2.131 2.131 6.631
2.131 -2.131 6.631
2.131 2.131 -6.631
Mg Ta Tl
1 2 2
Direct
0.000 0.000 0.000
0.408 0.408 0.000
0.592 0.592 0.000
0.250 0.750 0.500
0.750 0.250 0.500
```

Calculated values
Energy of formation from the pure elements: 0.91 eV per atom
DOS(E_F): 4.1 states/eV per cell
Crystal system: tetragonal
Distance to the lowest polymorph of the same formula: 0.256 eV/atom

***

15.
The following is a DFT calculation (PBE) of a relaxed structure of MgTa2Tl.

Structure (POSCAR):
```
MgTa2Tl
1.0
-2.100 2.100 4.425
2.100 -2.100 4.425
2.100 2.100 -4.425
Mg Ta Tl
1 2 1
Direct
0.000 0.000 0.000
0.250 0.750 0.500
0.500 0.500 0.000
0.750 0.250 0.500
```

Calculated values
Energy of formation from the pure elements: 0.47 eV per atom
DOS(E_F): 2.5 states/eV per cell
Crystal system: tetragonal

***

16.
The following is a DFT calculation (PBE) of a relaxed structure of MgTa2Tl.

Structure (POSCAR):
```
MgTa2Tl
1.0
-1.993 2.072 4.671
1.993 -2.072 4.671
1.993 2.072 -4.671
Mg Ta Tl
1 2 1
Direct
0.000 0.000 0.000
0.250 0.750 0.500
0.750 0.250 0.500
0.500 0.500 0.000
```

Calculated values
Energy of formation from the pure elements: 0.33 eV per atom
DOS(E_F): 1.5 states/eV per cell
Crystal system: orthorhombic

***

17.
The following is a DFT calculation (PBE) of a relaxed structure of Mg2TaTl.

Structure (POSCAR):
```
Mg2TaTl
1.0
3.015 0.000 0.000
0.000 3.015 0.000
0.000 0.000 9.447
Mg Ta Tl
2 1 1
Direct
0.000 0.000 0.000
0.500 0.500 0.260
0.000 0.000 0.490
0.500 0.500 0.739
```

Calculated values
Energy of formation from the pure elements: 0.31 eV per atom
DOS(E_F): 2.7 states/eV per cell
Crystal system: tetragonal
Distance to the lowest polymorph of the same formula: 0.099 eV/atom

***

18.
The following is a DFT calculation (PBE) of a relaxed structure of Mg2TaTl.

Structure (POSCAR):
```
Mg2TaTl
1.0
-2.092 2.092 4.647
2.092 -2.092 4.647
2.092 2.092 -4.647
Mg Ta Tl
2 1 1
Direct
0.000 0.000 0.000
0.750 0.250 0.500
0.250 0.750 0.500
0.500 0.500 0.000
```

Calculated values
Energy of formation from the pure elements: 0.42 eV per atom
DOS(E_F): 4.1 states/eV per cell
Crystal system: tetragonal
Distance to the lowest polymorph of the same formula: 0.210 eV/atom

***

19.
The following is a DFT calculation (PBE) of a relaxed structure of MgTa2Tl.

Structure (POSCAR):
```
MgTa2Tl
1.0
1.732 -2.489 0.000
1.732 2.489 0.000
0.000 0.000 9.542
Mg Ta Tl
1 2 1
Direct
0.000 0.000 0.000
0.000 0.000 0.527
0.500 0.500 0.749
0.500 0.500 0.265
```

Calculated values
Energy of formation from the pure elements: 0.24 eV per atom
DOS(E_F): 2.7 states/eV per cell
Crystal system: orthorhombic

***

20.
The following is a DFT calculation (PBE) of a relaxed structure of TmMgTa.

Structure (POSCAR):
```
TmMgTa
1.0
0.000 3.890 7.907
2.559 0.000 7.907
2.559 3.890 0.000
Tm Mg Ta
2 2 2
Direct
0.102 0.102 0.898
0.898 0.898 0.102
0.250 0.250 0.250
0.750 0.750 0.750
0.336 0.664 0.336
0.664 0.336 0.664
```

Calculated values
Energy of formation from the pure elements: 0.54 eV per atom
DOS(E_F): 4.6 states/eV per cell
Crystal system: orthorhombic